ZrFeTc2: relaxed, GGA-PBE.

abc: 5.204 5.204 4.446
angles: 64.75 64.75 35.66
Fractional positions:
1 Tc 0.259 0.259 0.241
2 Tc 0.998 0.998 0.002
3 Fe 0.741 0.741 0.759
4 Zr 0.502 0.502 0.498

Calculated values
Final energy: -9.445 eV/atom
Energy of formation from the pure elements: -0.04 eV/f.u.
Space group: Imm2
Magnetic moment: 2.69 μB per formula unit
Calculated volume: 62.7 Å³/cell